# Er2Zr2O7 | the Alexandria database | PBE | optimized geometry
# calculated total energy = -8.9561 eV per atom
# symmetry = Fd-3m (227)
# formation energy without anion corrections = -329.7 kJ per mole of atoms
# volume = 146.1 Å³/f.u.
data_Er2Zr2O7
_chemical_formula_sum 'Er4 Zr4 O14'
_symmetry_space_group_name_H-M 'P 1'
_symmetry_Int_Tables_number 1
_cell_length_a 7.448
_cell_length_b 7.448
_cell_length_c 7.448
_cell_angle_alpha 60.00
_cell_angle_beta 60.00
_cell_angle_gamma 60.00
loop_
_symmetry_equiv_pos_as_xyz
'x,y,z'
loop_
_atom_site_label
_atom_site_fract_x
_atom_site_fract_y
_atom_site_fract_z
Er1 0.000 0.000 0.000
Er2 0.000 0.000 0.500
Er3 0.000 0.500 0.000
Er4 0.500 0.000 0.000
Zr1 0.000 0.500 0.500
Zr2 0.500 0.000 0.500
Zr3 0.500 0.500 0.000
Zr4 0.500 0.500 0.500
O1 0.125 0.125 0.125
O2 0.157 0.157 0.593
O3 0.157 0.593 0.157
O4 0.157 0.593 0.593
O5 0.407 0.407 0.843
O6 0.407 0.843 0.407
O7 0.407 0.843 0.843
O8 0.593 0.157 0.157
O9 0.593 0.157 0.593
O10 0.593 0.593 0.157
O11 0.843 0.407 0.407
O12 0.843 0.407 0.843
O13 0.843 0.843 0.407
O14 0.875 0.875 0.875

# Er2ZrO | the Alexandria database | PBE | optimized geometry
# calculated total energy = -6.7518 eV per atom
# symmetry = R-3m (166)
# formation energy without anion corrections = -105.5 kJ per mole of atoms
# volume = 85.3 Å³/f.u.
data_Er2ZrO
_chemical_formula_sum 'Er6 Zr3 O3'
_symmetry_space_group_name_H-M 'P 1'
_symmetry_Int_Tables_number 1
_cell_length_a 3.308
_cell_length_b 3.308
_cell_length_c 27.013
_cell_angle_alpha 90.00
_cell_angle_beta 90.00
_cell_angle_gamma 120.00
loop_
_symmetry_equiv_pos_as_xyz
'x,y,z'
loop_
_atom_site_label
_atom_site_fract_x
_atom_site_fract_y
_atom_site_fract_z
Er1 0.000 0.000 0.116
Er2 0.000 0.000 0.884
Er3 0.333 0.667 0.551
Er4 0.333 0.667 0.782
Er5 0.667 0.333 0.218
Er6 0.667 0.333 0.449
Zr1 0.000 0.000 0.000
Zr2 0.333 0.667 0.667
Zr3 0.667 0.333 0.333
O1 0.000 0.000 0.500
O2 0.333 0.667 0.167
O3 0.667 0.333 0.833

# Er2ZrO | the Alexandria database | PBE | optimized geometry
# calculated total energy = -6.5709 eV per atom
# symmetry = P4/mmm (123)
# formation energy without anion corrections = -88.1 kJ per mole of atoms
# volume = 79.4 Å³/f.u.
data_Er2ZrO
_chemical_formula_sum 'Er2 Zr1 O1'
_symmetry_space_group_name_H-M 'P 1'
_symmetry_Int_Tables_number 1
_cell_length_a 3.127
_cell_length_b 3.127
_cell_length_c 8.121
_cell_angle_alpha 90.00
_cell_angle_beta 90.00
_cell_angle_gamma 90.00
loop_
_symmetry_equiv_pos_as_xyz
'x,y,z'
loop_
_atom_site_label
_atom_site_fract_x
_atom_site_fract_y
_atom_site_fract_z
Er1 0.000 0.000 0.189
Er2 0.000 0.000 0.811
Zr1 0.500 0.500 0.500
O1 0.500 0.500 0.000

# Er3ZrO | the Alexandria database | PBE | optimized geometry
# calculated total energy = -6.5482 eV per atom
# symmetry = Pm-3m (221)
# formation energy without anion corrections = -107.0 kJ per mole of atoms
# volume = 109.5 Å³/f.u.
data_Er3ZrO
_chemical_formula_sum 'Er3 Zr1 O1'
_symmetry_space_group_name_H-M 'P 1'
_symmetry_Int_Tables_number 1
_cell_length_a 4.784
_cell_length_b 4.784
_cell_length_c 4.784
_cell_angle_alpha 90.00
_cell_angle_beta 90.00
_cell_angle_gamma 90.00
loop_
_symmetry_equiv_pos_as_xyz
'x,y,z'
loop_
_atom_site_label
_atom_site_fract_x
_atom_site_fract_y
_atom_site_fract_z
Er1 0.000 0.000 0.500
Er2 0.000 0.500 0.000
Er3 0.500 0.000 0.000
Zr1 0.500 0.500 0.500
O1 0.000 0.000 0.000

# ErZrO | the Alexandria database | PBE | optimized geometry
# calculated total energy = -7.7204 eV per atom
# symmetry = Cmcm (63)
# formation energy without anion corrections = -163.8 kJ per mole of atoms
# volume = 65.4 Å³/f.u.
data_ErZrO
_chemical_formula_sum 'Er4 Zr4 O4'
_symmetry_space_group_name_H-M 'P 1'
_symmetry_Int_Tables_number 1
_cell_length_a 3.664
_cell_length_b 20.700
_cell_length_c 3.447
_cell_angle_alpha 90.00
_cell_angle_beta 90.00
_cell_angle_gamma 90.00
loop_
_symmetry_equiv_pos_as_xyz
'x,y,z'
loop_
_atom_site_label
_atom_site_fract_x
_atom_site_fract_y
_atom_site_fract_z
Er1 0.000 0.078 0.250
Er2 0.000 0.922 0.750
Er3 0.500 0.422 0.750
Er4 0.500 0.578 0.250
Zr1 0.000 0.305 0.250
Zr2 0.000 0.695 0.750
Zr3 0.500 0.195 0.750
Zr4 0.500 0.805 0.250
O1 0.000 0.370 0.750
O2 0.000 0.630 0.250
O3 0.500 0.130 0.250
O4 0.500 0.870 0.750

# Er2Zr2O7 | the Alexandria database | PBE | optimized geometry
# calculated total energy = -8.8858 eV per atom
# symmetry = Pmma (51)
# formation energy without anion corrections = -322.9 kJ per mole of atoms
# volume = 142.6 Å³/f.u.
data_Er2Zr2O7
_chemical_formula_sum 'Er4 Zr4 O14'
_symmetry_space_group_name_H-M 'P 1'
_symmetry_Int_Tables_number 1
_cell_length_a 7.502
_cell_length_b 3.596
_cell_length_c 10.568
_cell_angle_alpha 90.00
_cell_angle_beta 90.00
_cell_angle_gamma 90.00
loop_
_symmetry_equiv_pos_as_xyz
'x,y,z'
loop_
_atom_site_label
_atom_site_fract_x
_atom_site_fract_y
_atom_site_fract_z
Er1 0.000 0.000 0.000
Er2 0.250 0.500 0.274
Er3 0.500 0.000 0.000
Er4 0.750 0.500 0.726
Zr1 0.000 0.000 0.500
Zr2 0.250 0.500 0.747
Zr3 0.500 0.000 0.500
Zr4 0.750 0.500 0.253
O1 0.018 0.500 0.620
O2 0.043 0.500 0.129
O3 0.250 0.000 0.387
O4 0.250 0.000 0.633
O5 0.250 0.000 0.882
O6 0.457 0.500 0.129
O7 0.482 0.500 0.620
O8 0.518 0.500 0.380
O9 0.543 0.500 0.871
O10 0.750 0.000 0.118
O11 0.750 0.000 0.367
O12 0.750 0.000 0.613
O13 0.957 0.500 0.871
O14 0.982 0.500 0.380

# Er2Zr2O7 | the Alexandria database | PBE | optimized geometry
# calculated total energy = -8.9596 eV per atom
# symmetry = C2/m (12)
# formation energy without anion corrections = -330.0 kJ per mole of atoms
# volume = 181.8 Å³/f.u.
data_Er2Zr2O7
_chemical_formula_sum 'Er2 Zr2 O7'
_symmetry_space_group_name_H-M 'P 1'
_symmetry_Int_Tables_number 1
_cell_length_a 5.880
_cell_length_b 5.880
_cell_length_c 5.611
_cell_angle_alpha 96.08
_cell_angle_beta 96.08
_cell_angle_gamma 107.68
loop_
_symmetry_equiv_pos_as_xyz
'x,y,z'
loop_
_atom_site_label
_atom_site_fract_x
_atom_site_fract_y
_atom_site_fract_z
Er1 0.189 0.811 0.000
Er2 0.811 0.189 0.000
Zr1 0.243 0.243 0.603
Zr2 0.757 0.757 0.397
O1 0.058 0.058 0.266
O2 0.093 0.444 0.804
O3 0.444 0.093 0.804
O4 0.500 0.500 0.500
O5 0.556 0.907 0.196
O6 0.907 0.556 0.196
O7 0.942 0.942 0.734

# Er3ZrO6 | the Alexandria database | PBE | optimized geometry
# calculated total energy = -8.6081 eV per atom
# symmetry = R-3 (148)
# formation energy without anion corrections = -329.0 kJ per mole of atoms
# volume = 144.2 Å³/f.u.
data_Er3ZrO6
_chemical_formula_sum 'Er6 Zr2 O12'
_symmetry_space_group_name_H-M 'P 1'
_symmetry_Int_Tables_number 1
_cell_length_a 6.608
_cell_length_b 6.608
_cell_length_c 6.608
_cell_angle_alpha 91.39
_cell_angle_beta 91.39
_cell_angle_gamma 91.39
loop_
_symmetry_equiv_pos_as_xyz
'x,y,z'
loop_
_atom_site_label
_atom_site_fract_x
_atom_site_fract_y
_atom_site_fract_z
Er1 0.039 0.565 0.746
Er2 0.254 0.961 0.435
Er3 0.435 0.254 0.961
Er4 0.565 0.746 0.039
Er5 0.746 0.039 0.565
Er6 0.961 0.435 0.254
Zr1 0.000 0.000 0.000
Zr2 0.500 0.500 0.500
O1 0.039 0.915 0.695
O2 0.085 0.305 0.961
O3 0.185 0.615 0.443
O4 0.305 0.961 0.085
O5 0.385 0.557 0.815
O6 0.443 0.185 0.615
O7 0.557 0.815 0.385
O8 0.615 0.443 0.185
O9 0.695 0.039 0.915
O10 0.815 0.385 0.557
O11 0.915 0.695 0.039
O12 0.961 0.085 0.305

# Er8Os3 | the Alexandria database | PBE | optimized geometry
# calculated total energy = -6.5069 eV per atom
# symmetry = R-3m (166)
# E_form = -126 meV/atom
# volume = 303.1 Å³/f.u.
data_Er8Os3
_chemical_formula_sum 'Er8 Os3'
_symmetry_space_group_name_H-M 'P 1'
_symmetry_Int_Tables_number 1
_cell_length_a 6.717
_cell_length_b 6.717
_cell_length_c 6.717
_cell_angle_alpha 89.94
_cell_angle_beta 89.94
_cell_angle_gamma 89.94
loop_
_symmetry_equiv_pos_as_xyz
'x,y,z'
loop_
_atom_site_label
_atom_site_fract_x
_atom_site_fract_y
_atom_site_fract_z
Er1 0.244 0.244 0.756
Er2 0.244 0.756 0.244
Er3 0.244 0.756 0.756
Er4 0.245 0.245 0.245
Er5 0.755 0.755 0.755
Er6 0.756 0.244 0.244
Er7 0.756 0.244 0.756
Er8 0.756 0.756 0.244
Os1 0.000 0.000 0.500
Os2 0.000 0.500 0.000
Os3 0.500 0.000 0.000

# ErPa2Os2 | the Alexandria database | PBE | optimized geometry
# calculated total energy = -9.4192 eV per atom
# symmetry = C2/m (12)
# E_form = -216 meV/atom
# volume = 112.9 Å³/f.u.
data_ErPa2Os2
_chemical_formula_sum 'Er2 Pa4 Os4'
_symmetry_space_group_name_H-M 'P 1'
_symmetry_Int_Tables_number 1
_cell_length_a 7.491
_cell_length_b 7.491
_cell_length_c 10.437
_cell_angle_alpha 126.67
_cell_angle_beta 126.67
_cell_angle_gamma 29.35
loop_
_symmetry_equiv_pos_as_xyz
'x,y,z'
loop_
_atom_site_label
_atom_site_fract_x
_atom_site_fract_y
_atom_site_fract_z
Er1 0.191 0.191 0.333
Er2 0.809 0.809 0.667
Pa1 0.274 0.274 0.902
Pa2 0.481 0.481 0.315
Pa3 0.519 0.519 0.685
Pa4 0.726 0.726 0.098
Os1 0.060 0.060 0.931
Os2 0.123 0.123 0.569
Os3 0.877 0.877 0.431
Os4 0.940 0.940 0.069